(1)
# CdReGe2 | the Open Quantum Materials Database | GGA-PBE | optimized geometry
# calculated total energy	-4.80	eV/atom
data_CdReGe2
_chemical_formula_sum 'Cd4 Re4 Ge8'
_cell_length_a 6.579
_cell_length_b 6.579
_cell_length_c 6.579
_cell_angle_alpha 90.00
_cell_angle_beta 90.00
_cell_angle_gamma 90.00
_space_group_name_H-M_alt 'F -4 3 m'
_space_group_IT_number 216
_space_group_name_Hall 'F -4 2 3'
loop_
_atom_site_label
_atom_site_type_symbol
_atom_site_fract_x
_atom_site_fract_y
_atom_site_fract_z
_atom_site_occupancy
Cd1 Cd 0.000 0.000 0.000 1
Re1 Re 0.250 0.250 0.750 1
Ge1 Ge 0.000 0.000 0.500 1
Ge2 Ge 0.250 0.250 0.250 1

(2)
# Cd2ReGe | the Open Quantum Materials Database | GGA-PBE | optimized geometry
# calculated total energy	-3.98	eV/atom
data_Cd2ReGe
_chemical_formula_sum 'Cd8 Re4 Ge4'
_cell_length_a 6.605
_cell_length_b 6.605
_cell_length_c 6.605
_cell_angle_alpha 90.00
_cell_angle_beta 90.00
_cell_angle_gamma 90.00
_space_group_name_H-M_alt 'F -4 3 m'
_space_group_IT_number 216
_space_group_name_Hall 'F -4 2 3'
loop_
_atom_site_label
_atom_site_type_symbol
_atom_site_fract_x
_atom_site_fract_y
_atom_site_fract_z
_atom_site_occupancy
Cd1 Cd 0.000 0.000 0.000 1
Cd2 Cd 0.250 0.250 0.250 1
Re1 Re 0.250 0.250 0.750 1
Ge1 Ge 0.000 0.000 0.500 1

(3)
# CdRe2Ge | the Open Quantum Materials Database | GGA-PBE | optimized geometry
# calculated total energy	-6.85	eV/atom
data_CdRe2Ge
_chemical_formula_sum 'Cd4 Re8 Ge4'
_cell_length_a 6.391
_cell_length_b 6.391
_cell_length_c 6.391
_cell_angle_alpha 90.00
_cell_angle_beta 90.00
_cell_angle_gamma 90.00
_space_group_name_H-M_alt 'F -4 3 m'
_space_group_IT_number 216
_space_group_name_Hall 'F -4 2 3'
loop_
_atom_site_label
_atom_site_type_symbol
_atom_site_fract_x
_atom_site_fract_y
_atom_site_fract_z
_atom_site_occupancy
Cd1 Cd 0.000 0.000 0.000 1
Re1 Re 0.000 0.000 0.500 1
Re2 Re 0.250 0.250 0.250 1
Ge1 Ge 0.250 0.250 0.750 1

(4)
# Sc2CdGe | the Open Quantum Materials Database | GGA-PBE | optimized geometry
# calculated total energy	-4.49	eV/atom
data_Sc2CdGe
_chemical_formula_sum 'Sc8 Cd4 Ge4'
_cell_length_a 7.010
_cell_length_b 7.010
_cell_length_c 7.010
_cell_angle_alpha 90.00
_cell_angle_beta 90.00
_cell_angle_gamma 90.00
_space_group_name_H-M_alt 'F -4 3 m'
_space_group_IT_number 216
_space_group_name_Hall 'F -4 2 3'
loop_
_atom_site_label
_atom_site_type_symbol
_atom_site_fract_x
_atom_site_fract_y
_atom_site_fract_z
_atom_site_occupancy
Sc1 Sc 0.000 0.000 0.000 1
Sc2 Sc 0.250 0.250 0.250 1
Cd1 Cd 0.250 0.250 0.750 1
Ge1 Ge 0.000 0.000 0.500 1

| no. | total moment (μB per cell) |
| --- | --- |
| 1 | 2.8 |
| 2 | 0.0 |
| 3 | 1.2 |
| 4 | 4.0 |